(1)
Li3Y3NpTe8 | PBE-GGA | relaxed

abc: 8.6713 8.6713 8.6713
angles: 60.23 60.23 60.23
Sites, in units of the cell vectors:
1 Li 0.0000 0.5000 0.5000
2 Li 0.5000 0.0000 0.5000
3 Li 0.5000 0.5000 0.0000
4 Y 0.0000 0.0000 0.5000
5 Y 0.0000 0.5000 0.0000
6 Y 0.5000 0.0000 0.0000
7 Np 0.5000 0.5000 0.5000
8 Te 0.2499 0.2499 0.7478
9 Te 0.2499 0.7478 0.2499
10 Te 0.2520 0.2520 0.2520
11 Te 0.2522 0.7501 0.7501
12 Te 0.7478 0.2499 0.2499
13 Te 0.7480 0.7480 0.7480
14 Te 0.7501 0.2522 0.7501
15 Te 0.7501 0.7501 0.2522

## Properties
Formation energy without anion corrections, eV per atom: -1.147
N(E_F), states/eV/cell: 3.4
Theoretical density, g cm⁻³: 5.54
Total magnetization, μB/f.u.: 2.99

---

(2)
Li3Y2NpTe6 | PBE-GGA | relaxed

abc: 7.5589 7.5589 7.4937
angles: 99.65 99.65 119.89
Sites, in units of the cell vectors:
1 Li 0.0000 0.0000 0.0000
2 Li 0.3321 0.6679 0.0000
3 Li 0.6679 0.3321 0.0000
4 Y 0.1659 0.8341 0.5000
5 Y 0.8341 0.1659 0.5000
6 Np 0.5000 0.5000 0.5000
7 Te 0.0772 0.4142 0.2432
8 Te 0.2486 0.2486 0.7576
9 Te 0.4142 0.0772 0.2432
10 Te 0.5858 0.9228 0.7568
11 Te 0.7514 0.7514 0.2424
12 Te 0.9228 0.5858 0.7568

## Properties
Formation energy without anion corrections, eV per atom: -1.126
N(E_F), states/eV/cell: 5.9
Theoretical density, g cm⁻³: 5.70
Total magnetization, μB/f.u.: 4.00

---

(3)
Li4ZrNp3Te8 | PBE-GGA | relaxed

abc: 8.6513 8.6513 8.6513
angles: 59.30 59.30 59.30
Sites, in units of the cell vectors:
1 Li 0.0000 0.0000 0.0000
2 Li 0.0000 0.5000 0.5000
3 Li 0.5000 0.0000 0.5000
4 Li 0.5000 0.5000 0.0000
5 Zr 0.5000 0.5000 0.5000
6 Np 0.0000 0.0000 0.5000
7 Np 0.0000 0.5000 0.0000
8 Np 0.5000 0.0000 0.0000
9 Te 0.2545 0.2545 0.2545
10 Te 0.2546 0.2546 0.7360
11 Te 0.2546 0.7360 0.2546
12 Te 0.2640 0.7454 0.7454
13 Te 0.7360 0.2546 0.2546
14 Te 0.7454 0.2640 0.7454
15 Te 0.7454 0.7454 0.2640
16 Te 0.7455 0.7455 0.7455

## Properties
Formation energy without anion corrections, eV per atom: -0.817
N(E_F), states/eV/cell: 33.2
Theoretical density, g cm⁻³: 6.82
Total magnetization, μB/f.u.: 13.01

---

(4)
Li3Zr2NpTe6 | PBE-GGA | relaxed

abc: 7.1828 7.1828 7.5550
angles: 99.12 99.12 120.16
Sites, in units of the cell vectors:
1 Li 0.0000 0.0000 0.0000
2 Li 0.3386 0.6614 0.0000
3 Li 0.6614 0.3386 0.0000
4 Zr 0.1690 0.8310 0.5000
5 Zr 0.8310 0.1690 0.5000
6 Np 0.5000 0.5000 0.5000
7 Te 0.0682 0.4145 0.2452
8 Te 0.2365 0.2365 0.7520
9 Te 0.4145 0.0682 0.2452
10 Te 0.5855 0.9318 0.7548
11 Te 0.7635 0.7635 0.2480
12 Te 0.9318 0.5855 0.7548

## Properties
Formation energy without anion corrections, eV per atom: -0.863
N(E_F), states/eV/cell: 14.0
Theoretical density, g cm⁻³: 6.27
Total magnetization, μB/f.u.: 5.27

---

Question: Which of these has the lowest N(E_F)?
Answer: Li3Y3NpTe8